Entry 1:
Here is an optimized crystal structure of BiPtCl6 from Alexandria. Energies are from PBE.

Spin magnetization in μB per cell: 0.0
Energy relative to the elements, uncorrected in eV/atom: -0.59
Polymorph energy (0 for the lowest one) in eV per atom: 0.0199
ρ in Mg/m³: 4.8

Lattice parameters (Å, degrees): 6.308 6.348 6.868 62.75 89.47 64.35
Space group P-1 (No. 2)
Asymmetric unit:
Bi 0.000 0.000 0.000 (multiplicity 1)
Pt 0.500 0.000 0.500 (multiplicity 1)
Cl 0.127 0.474 0.256 (multiplicity 2)
Cl 0.270 0.826 0.729 (multiplicity 2)
Cl 0.436 0.845 0.266 (multiplicity 2)

***

Entry 2:
Here is an optimized crystal structure of Bi2PtCl from Alexandria. Energies are from PBE.

Spin magnetization in μB per cell: 0.0
Energy relative to the elements, uncorrected in eV/atom: -0.42
Polymorph energy (0 for the lowest one) in eV per atom: 0.0241
ρ in Mg/m³: 9.5

Lattice parameters (Å, degrees): 4.2583 4.2583 21.7360 90.00 90.00 120.00
Space group R3m (No. 160, hexagonal axes)
Asymmetric unit:
Bi 0.0000 0.0000 0.0000 (multiplicity 3)
Bi 0.0000 0.0000 0.2111 (multiplicity 3)
Pt 0.0000 0.0000 0.6056 (multiplicity 3)
Cl 0.0000 0.0000 0.7754 (multiplicity 3)

***

Entry 3:
Here is an optimized crystal structure of Bi4PtCl from Alexandria. Energies are from PBE.

Spin magnetization in μB per cell: 0.0
Energy relative to the elements, uncorrected in eV/atom: -0.22
ρ in Mg/m³: 8.7

Lattice parameters (Å, degrees): 13.507 8.516 7.331 90.00 104.28 90.00
Space group C2/m (No. 12)
Asymmetric unit:
Bi 0.000 0.208 0.000 (multiplicity 4)
Bi 0.132 0.202 0.559 (multiplicity 8)
Bi 0.196 0.000 0.939 (multiplicity 4)
Pt 0.009 0.000 0.304 (multiplicity 4)
Cl 0.073 0.500 0.780 (multiplicity 4)

***

Entry 4:
Here is an optimized crystal structure of Bi3PtCl from Alexandria. Energies are from PBE.

Spin magnetization in μB per cell: 1.3
Energy relative to the elements, uncorrected in eV/atom: 0.26
Polymorph energy (0 for the lowest one) in eV per atom: 0.5906
ρ in Mg/m³: 8.6

Lattice parameters (Å, degrees): 5.500 5.500 5.500 90.00 90.00 90.00
Space group Pm-3m (No. 221)
Asymmetric unit:
Bi 0.000 0.000 0.500 (multiplicity 3)
Pt 0.000 0.000 0.000 (multiplicity 1)
Cl 0.500 0.500 0.500 (multiplicity 1)

***

Entry 5:
Here is an optimized crystal structure of BiRuPtCl2 from Alexandria. Energies are from PBE.

Spin magnetization in μB per cell: 1.5
Energy relative to the elements, uncorrected in eV/atom: 0.68
ρ in Mg/m³: 8.1

Lattice parameters (Å, degrees): 4.686 4.686 5.404 90.00 90.00 90.00
Space group P4/mmm (No. 123)
Asymmetric unit:
Bi 0.000 0.000 0.000 (multiplicity 1)
Ru 0.500 0.500 0.000 (multiplicity 1)
Pt 0.500 0.500 0.500 (multiplicity 1)
Cl 0.000 0.500 0.500 (multiplicity 2)

***

Entry 6:
Here is an optimized crystal structure of SrBi2PtCl from Alexandria. Energies are from PBE.

Spin magnetization in μB per cell: 0.0
Energy relative to the elements, uncorrected in eV/atom: -0.45
ρ in Mg/m³: 6.9

Lattice parameters (Å, degrees): 5.270 5.270 6.410 90.00 90.00 90.00
Space group P4/mmm (No. 123)
Asymmetric unit:
Sr 0.000 0.000 0.000 (multiplicity 1)
Bi 0.000 0.500 0.500 (multiplicity 2)
Pt 0.000 0.000 0.500 (multiplicity 1)
Cl 0.500 0.500 0.000 (multiplicity 1)

***

Entry 7:
Here is an optimized crystal structure of Tc2BiPtCl from Alexandria. Energies are from PBE.

Spin magnetization in μB per cell: 5.8
Energy relative to the elements, uncorrected in eV/atom: 1.30
ρ in Mg/m³: 8.7

Lattice parameters (Å, degrees): 5.098 5.098 4.659 90.00 90.00 90.00
Space group P4/mmm (No. 123)
Asymmetric unit:
Tc 0.000 0.500 0.000 (multiplicity 2)
Bi 0.000 0.000 0.500 (multiplicity 1)
Pt 0.500 0.500 0.000 (multiplicity 1)
Cl 0.500 0.500 0.500 (multiplicity 1)

***

Entry 8:
Here is an optimized crystal structure of Bi2TePtCl from Alexandria. Energies are from PBE.

Spin magnetization in μB per cell: 0.0
Energy relative to the elements, uncorrected in eV/atom: 1.02
ρ in Mg/m³: 8.4

Lattice parameters (Å, degrees): 5.346 5.346 5.349 90.00 90.00 90.00
Space group P4/mmm (No. 123)
Asymmetric unit:
Bi 0.000 0.500 0.000 (multiplicity 2)
Te 0.000 0.000 0.500 (multiplicity 1)
Pt 0.500 0.500 0.500 (multiplicity 1)
Cl 0.000 0.000 0.000 (multiplicity 1)